Entry from Alexandria: a relaxed YZnCr2 crystal (PBE).

Properties
Energy: -25.3 eV per cell
E_form: 0.429 eV/atom
Density of states at the Fermi level: 2.033 states/eV/cell

Lattice parameters (Å, degrees): 4.247 4.247 4.138 90.00 90.00 90.00
Atoms (fractional coordinates):
Cr (0.000, 0.000, 0.000)
Cr (0.500, 0.500, 0.000)
Y (0.500, 0.000, 0.500)
Zn (0.000, 0.500, 0.500)


Entry from Alexandria: a relaxed K2As3H6 crystal (PBE).

Properties
Energy: -73.9 eV per cell
Density of states at the Fermi level: 1.203 states/eV/cell

Lattice parameters (Å, degrees): 9.272 6.962 12.176 49.97 67.62 48.25
Atoms (fractional coordinates):
K (0.195, 0.042, 0.005)
K (0.758, 0.542, 0.505)
K (0.805, 0.958, 0.995)
K (0.242, 0.458, 0.495)
As (0.219, 0.825, 0.717)
As (0.489, 0.250, 0.750)
As (0.761, 0.675, 0.783)
As (0.239, 0.325, 0.217)
As (0.781, 0.175, 0.283)
As (0.511, 0.750, 0.250)
H (0.239, 0.723, 0.870)
H (0.500, 0.044, 0.951)
H (0.632, 0.647, 0.749)
H (0.168, 0.223, 0.370)
H (0.972, 0.147, 0.249)
H (0.505, 0.544, 0.451)
H (0.761, 0.277, 0.130)
H (0.500, 0.956, 0.049)
H (0.368, 0.353, 0.251)
H (0.832, 0.777, 0.630)
H (0.028, 0.853, 0.751)
H (0.495, 0.456, 0.549)